1.
# YCo2Ir PBE optimized geometry
data_YCo2Ir
_cell_length_a 9.2600
_cell_length_b 3.1140
_cell_length_c 4.6983
_cell_angle_alpha 90.00
_cell_angle_beta 109.79
_cell_angle_gamma 90.00
_symmetry_space_group_name_H-M 'C 1 m 1'
_symmetry_Int_Tables_number 8
loop_
_symmetry_equiv_pos_as_xyz
'x,y,z'
'x,-y,z'
'x+1/2,y+1/2,z'
'x+1/2,-y+1/2,z'
loop_
_atom_site_label
_atom_site_type_symbol
_atom_site_fract_x
_atom_site_fract_y
_atom_site_fract_z
Y1 Y 0.0000 0.0000 0.0000
Co1 Co 0.2756 0.5000 0.2932
Co2 Co 0.4863 0.0000 0.4932
Ir1 Ir 0.2234 0.0000 0.6770
# * magnetization: 3.4 μB/f.u.
# * VASP energy: -7.35 eV per atom
# * energy relative to the elements: 0.0341 eV per atom
# * E above lowest polymorph: 251 meV per atom
# * theoretical density: 10.39 g/cm3



2.
# YCo2Ir PBE optimized geometry
data_YCo2Ir
_cell_length_a 2.8692
_cell_length_b 2.8692
_cell_length_c 26.6883
_cell_angle_alpha 90.00
_cell_angle_beta 90.00
_cell_angle_gamma 120.00
_symmetry_space_group_name_H-M 'R -3 m'
_symmetry_Int_Tables_number 166
_symmetry_space_group_name_Hall '-R 3 2"'
loop_
_atom_site_label
_atom_site_type_symbol
_atom_site_fract_x
_atom_site_fract_y
_atom_site_fract_z
Y1 Y 0.0000 0.0000 0.0000
Co1 Co 0.0000 0.0000 0.2411
Ir1 Ir 0.0000 0.0000 0.5000
# * magnetization: 4.1 μB/f.u.
# * VASP energy: -6.85 eV per atom
# * energy relative to the elements: 0.5368 eV per atom
# * E above lowest polymorph: 754 meV per atom
# * theoretical density: 10.45 g/cm3



3.
# YCoIr PBE optimized geometry
data_YCoIr
_cell_length_a 3.3257
_cell_length_b 3.3257
_cell_length_c 9.7384
_cell_angle_alpha 90.00
_cell_angle_beta 90.00
_cell_angle_gamma 90.00
_symmetry_space_group_name_H-M 'I 4 m m'
_symmetry_Int_Tables_number 107
_symmetry_space_group_name_Hall 'I 4 -2'
loop_
_atom_site_label
_atom_site_type_symbol
_atom_site_fract_x
_atom_site_fract_y
_atom_site_fract_z
Y1 Y 0.0000 0.0000 0.0000
Co1 Co 0.0000 0.0000 0.7107
Ir1 Ir 0.0000 0.0000 0.2993
# * magnetization: 1.3 μB/f.u.
# * VASP energy: -7.59 eV per atom
# * energy relative to the elements: -0.1125 eV per atom
# * theoretical density: 10.49 g/cm3